This record from Alexandria describes a relaxed NdPuTc2 crystal. The functional is PBE.

## Properties
**Crystal system**: tetragonal
**Total moment**: 2.8 μB per formula unit

Cell: 3.367 3.367 7.259 Å, 90.00 90.00 90.00°
Positions (direct):
Tc 0.000 0.000 0.203
Pu 0.500 0.500 0.000
Tc 0.000 0.000 0.797
Nd 0.500 0.500 0.500

---

This record from Alexandria describes a relaxed AlTe2Rh crystal. The functional is PBE.

## Properties
**Crystal system**: tetragonal
**Formation energy from raw total energies**: 0.297 eV/atom
**Total moment**: 0.0 μB per formula unit

Cell: 5.320 5.320 5.320 Å, 130.93 130.93 71.93°
Positions (direct):
Te 0.000 0.000 0.000
Al 0.500 0.500 0.000
Rh 0.750 0.250 0.500
Te 0.250 0.750 0.500

---

This record from Alexandria describes a relaxed SmDy4Tl4 crystal. The functional is PBE.

## Properties
**Crystal system**: tetragonal
**Total moment**: 0.0 μB per formula unit

Cell: 5.913 9.457 9.457 Å, 90.00 90.00 90.00°
Positions (direct):
Dy 0.387 0.578 0.158
Dy 0.887 0.658 0.922
Sm 0.000 0.000 0.000
Tl 0.104 0.711 0.604
Dy 0.113 0.922 0.342
Dy 0.613 0.842 0.578
Dy 0.387 0.422 0.842
Dy 0.887 0.342 0.078
Sm 0.500 0.500 0.500
Tl 0.604 0.104 0.789
Dy 0.113 0.078 0.658
Tl 0.896 0.396 0.711
Tl 0.396 0.211 0.104
Tl 0.604 0.896 0.211
Tl 0.896 0.604 0.289
Tl 0.396 0.789 0.896
Tl 0.104 0.289 0.396
Dy 0.613 0.158 0.422

---

This record from Alexandria describes a relaxed Ac8TcSn2 crystal. The functional is PBE.

## Properties
**Crystal system**: monoclinic
**Total moment**: 0.0 μB per formula unit

Cell: 5.016 8.202 10.728 Å, 95.73 103.52 90.00°
Positions (direct):
Ac 0.640 0.020 0.279
Ac 0.219 0.343 0.437
Ac 0.781 0.657 0.563
Ac 0.596 0.514 0.192
Ac 0.404 0.486 0.808
Ac 0.005 0.781 0.009
Ac 0.995 0.219 0.991
Tc 0.500 0.000 0.000
Ac 0.360 0.980 0.721
Sn 0.821 0.241 0.642
Sn 0.179 0.759 0.358

---

no.,E (eV/atom)
1,-9.8262
2,-4.0472
3,-3.7830
4,-4.8448